Entry 1:
The following is a GGA-PBE calculation of an optimized crystal structure of Al2SiRh, from Alexandria via LeMat-Bulk.

Summary:
Crystal system = tetragonal
Uncorrected energy = -21.7 eV for the cell shown

Unit cell a=4.6860 b=4.6860 c=4.6860 alpha=131.24 beta=131.24 gamma=71.44
With the nearest neighbours (Å) after each atom.
Atoms (fractional coordinates):
Al 0.2500 0.7500 0.5000  4 Rh 2.71, 4 Si 2.71, 4 Al 2.74
Al 0.7500 0.2500 0.5000  4 Rh 2.71, 4 Si 2.71, 4 Al 2.74
Si 0.0000 0.0000 0.0000  8 Al 2.71, 4 Rh 2.74
Rh 0.5000 0.5000 0.0000  8 Al 2.71, 4 Si 2.74



Entry 2:
The following is a GGA-PBE calculation of an optimized crystal structure of AlSiRh, from Alexandria via LeMat-Bulk.

Summary:
Crystal system = cubic
Uncorrected energy = -17.6 eV for the cell shown

Unit cell a=4.0506 b=4.0506 c=4.0506 alpha=60.00 beta=60.00 gamma=60.00
With the nearest neighbours (Å) after each atom.
Atoms (fractional coordinates):
Al 0.0000 0.0000 0.0000  4 Si 2.48
Si 0.7500 0.7500 0.7500  4 Rh 2.48, 4 Al 2.48
Rh 0.5000 0.5000 0.5000  4 Si 2.48



Entry 3:
The following is a GGA-PBE calculation of an optimized crystal structure of Al2SiRh, from Alexandria via LeMat-Bulk.

Summary:
Crystal system = orthorhombic
Uncorrected energy = -21.9 eV for the cell shown

Unit cell a=4.5705 b=4.5705 c=2.9364 alpha=90.00 beta=90.00 gamma=111.67
With the nearest neighbours (Å) after each atom.
Atoms (fractional coordinates):
Al 0.0000 0.5000 0.0000  2 Al 2.57, 4 Rh 2.72, 4 Si 2.72
Al 0.5000 0.0000 0.0000  2 Al 2.57, 4 Rh 2.72, 4 Si 2.72
Si 0.0000 0.0000 0.5000  2 Rh 2.57, 8 Al 2.72
Rh 0.5000 0.5000 0.5000  2 Si 2.57, 8 Al 2.72



Entry 4:
The following is a GGA-PBE calculation of an optimized crystal structure of Al2SiRh, from Alexandria via LeMat-Bulk.

Summary:
Crystal system = tetragonal
Uncorrected energy = -22.0 eV for the cell shown

Unit cell a=3.3119 b=3.3119 c=5.2302 alpha=90.00 beta=90.00 gamma=90.00
With the nearest neighbours (Å) after each atom.
Atoms (fractional coordinates):
Al 0.0000 0.0000 0.2479  2 Al 2.59-2.64, 4 Si 2.68, 4 Rh 2.69
Al 0.0000 0.0000 0.7521  2 Al 2.59-2.64, 4 Si 2.68, 4 Rh 2.69
Si 0.5000 0.5000 0.0000  2 Rh 2.62, 8 Al 2.68
Rh 0.5000 0.5000 0.5000  2 Si 2.62, 8 Al 2.69



Entry 5:
The following is a GGA-PBE calculation of an optimized crystal structure of AlSiRh3, from Alexandria via LeMat-Bulk.

Summary:
Crystal system = cubic
Uncorrected energy = -31.6 eV for the cell shown
Energy above the lowest structure with this stoichiometry = 0.0 meV per atom

Unit cell a=4.3614 b=4.3614 c=4.3614 alpha=90.00 beta=90.00 gamma=90.00
With the nearest neighbours (Å) after each atom.
Atoms (fractional coordinates):
Al 0.0000 0.0000 0.0000  12 Rh 3.08
Si 0.5000 0.5000 0.5000  6 Rh 2.18
Rh 0.0000 0.5000 0.5000  2 Si 2.18
Rh 0.5000 0.0000 0.5000  2 Si 2.18
Rh 0.5000 0.5000 0.0000  2 Si 2.18



Entry 6:
The following is a GGA-PBE calculation of an optimized crystal structure of Al2SiRh, from Alexandria via LeMat-Bulk.

Summary:
Crystal system = orthorhombic
Uncorrected energy = -22.2 eV for the cell shown

Unit cell a=4.1059 b=4.9456 c=4.9456 alpha=36.03 beta=90.00 gamma=90.00
With the nearest neighbours (Å) after each atom.
Atoms (fractional coordinates):
Al 0.0000 0.0000 0.0000  3 Si 2.48-2.70, 4 Rh 2.70
Al 0.5000 0.3206 0.3206  3 Rh 2.55-2.64, 4 Si 2.68
Si 0.0000 0.7359 0.7359  2 Rh 2.46, 7 Al 2.48-2.70
Rh 0.5000 0.5914 0.5914  2 Si 2.46, 7 Al 2.55-2.70



Entry 7:
The following is a GGA-PBE calculation of an optimized crystal structure of AlSi2Rh, from Alexandria via LeMat-Bulk.

Summary:
Crystal system = monoclinic
Uncorrected energy = -22.8 eV for the cell shown

Unit cell a=4.6103 b=4.6103 c=4.3269 alpha=95.54 beta=95.54 gamma=38.02
With the nearest neighbours (Å) after each atom.
Atoms (fractional coordinates):
Al 0.0000 0.0000 0.0000  5 Si 2.48-2.64, 3 Rh 2.57-2.76
Si 0.2420 0.2420 0.7426  1 Si 2.46, 1 Al 2.48, 4 Rh 2.60-2.67
Si 0.4839 0.4839 0.4961  1 Si 2.46, 3 Rh 2.61-2.68, 4 Al 2.63-2.64
Rh 0.7463 0.7463 0.2540  3 Al 2.57-2.76, 7 Si 2.60-2.68



Entry 8:
The following is a GGA-PBE calculation of an optimized crystal structure of Al2SiRh, from Alexandria via LeMat-Bulk.

Summary:
Crystal system = tetragonal
Uncorrected energy = -21.5 eV for the cell shown

Unit cell a=4.7932 b=4.7932 c=4.7932 alpha=133.14 beta=133.14 gamma=68.43
With the nearest neighbours (Å) after each atom.
Atoms (fractional coordinates):
Al 0.0000 0.0000 0.0000  4 Si 2.70, 4 Rh 2.75, 4 Al 2.75
Al 0.7500 0.2500 0.5000  4 Rh 2.70, 4 Al 2.75, 4 Si 2.75
Si 0.5000 0.5000 0.0000  8 Al 2.70-2.75, 4 Rh 2.75
Rh 0.2500 0.7500 0.5000  8 Al 2.70-2.75, 4 Si 2.75



Entry 9:
The following is a GGA-PBE calculation of an optimized crystal structure of AlSiRh, from Alexandria via LeMat-Bulk.

Summary:
Crystal system = tetragonal
Uncorrected energy = -18.2 eV for the cell shown

Unit cell a=4.5372 b=4.5372 c=4.5372 alpha=137.58 beta=137.58 gamma=61.54
With the nearest neighbours (Å) after each atom.
Atoms (fractional coordinates):
Al 0.0000 0.0000 0.0000  5 Si 2.53-2.69, 5 Rh 2.58-2.67
Si 0.6756 0.6756 0.0000  5 Al 2.53-2.69, 5 Rh 2.62-2.69
Rh 0.3308 0.3308 0.0000  5 Al 2.58-2.67, 5 Si 2.62-2.69



Entry 10:
The following is a GGA-PBE calculation of an optimized crystal structure of Al2SiRh, from Alexandria via LeMat-Bulk.

Summary:
Crystal system = tetragonal
Uncorrected energy = -41.0 eV for the cell shown

Unit cell a=6.1356 b=6.1356 c=6.1356 alpha=98.06 beta=98.06 gamma=136.02
With the nearest neighbours (Å) after each atom.
Atoms (fractional coordinates):
Al 0.0367 0.6250 0.9117  2 Rh 2.46, 2 Al 2.70
Al 0.3750 0.2867 0.4117  2 Rh 2.46, 2 Al 2.70
Al 0.7133 0.1250 0.0883  2 Rh 2.46, 2 Al 2.70
Al 0.8750 0.9633 0.5883  2 Rh 2.46, 2 Al 2.70
Si 0.2500 0.7500 0.5000  2 Rh 2.30
Si 0.5000 0.5000 0.0000  2 Rh 2.30
Rh 0.0000 0.0000 0.0000  2 Si 2.30, 4 Al 2.46
Rh 0.7500 0.2500 0.5000  2 Si 2.30, 4 Al 2.46



Entry 11:
The following is a GGA-PBE calculation of an optimized crystal structure of AlSi2Rh, from Alexandria via LeMat-Bulk.

Summary:
Crystal system = orthorhombic
Uncorrected energy = -22.6 eV for the cell shown

Unit cell a=4.5145 b=4.5145 c=2.9004 alpha=90.00 beta=90.00 gamma=109.39
With the nearest neighbours (Å) after each atom.
Atoms (fractional coordinates):
Al 0.0000 0.0000 0.0000  2 Rh 2.61, 8 Si 2.68, 2 Al 2.90
Si 0.0000 0.5000 0.5000  4 Si 2.61-2.90, 4 Rh 2.68, 4 Al 2.68
Si 0.5000 0.0000 0.5000  4 Si 2.61-2.90, 4 Rh 2.68, 4 Al 2.68
Rh 0.5000 0.5000 0.0000  2 Al 2.61, 8 Si 2.68, 2 Rh 2.90



Entry 12:
The following is a GGA-PBE calculation of an optimized crystal structure of Al3SiRh3, from Alexandria via LeMat-Bulk.

Summary:
Crystal system = trigonal
Uncorrected energy = -44.3 eV for the cell shown

Unit cell a=5.0959 b=5.0959 c=5.0959 alpha=109.04 beta=109.04 gamma=109.04
With the nearest neighbours (Å) after each atom.
Atoms (fractional coordinates):
Al 0.0000 0.5000 0.5000  6 Rh 2.55-2.60
Al 0.5000 0.0000 0.5000  6 Rh 2.55-2.60
Al 0.5000 0.5000 0.0000  6 Rh 2.55-2.60
Si 0.0000 0.0000 0.0000  6 Rh 2.55
Rh 0.0000 0.0000 0.5000  6 Al 2.55-2.60, 2 Si 2.55
Rh 0.0000 0.5000 0.0000  2 Si 2.55, 6 Al 2.55-2.60
Rh 0.5000 0.0000 0.0000  6 Al 2.55-2.60, 2 Si 2.55



- Which value of uncorrected energy does entry 7 give?
  -22.8 eV for the cell shown